No. 1
A plane-wave DFT calculation with GGA-PBE was carried out for crystalline ZrP2W at its relaxed geometry.

POSCAR file:
```
ZrP2W
1.0
8.2683 0.0121 0.0072
7.6839 3.0533 0.0072
7.6839 1.4765 2.6725
Zr W P
1 1 2
direct
0.7456 0.7456 0.7456
0.5130 0.5130 0.5130
0.2485 0.2485 0.2485
0.9929 0.9929 0.9929
```

Computed properties:
Symmetry: R3m
ρ (g/cm³): 8.35
E (eV/atom): -8.095

No. 2
A plane-wave DFT calculation with GGA-PBE was carried out for crystalline ZrP2W at its relaxed geometry.

POSCAR file:
```
ZrP2W
1.0
-3.7010 -2.8773 -2.8099
3.7974 -1.2423 -3.7294
1.4916 -6.9387 -0.1749
P W Zr
4 2 2
direct
0.8750 0.9125 0.7500
0.0875 0.6250 0.2500
0.6625 0.1250 0.2500
0.3750 0.3375 0.7500
0.7500 0.2500 0.5000
0.0000 0.0000 0.0000
0.5000 0.5000 0.0000
0.2500 0.7500 0.5000
```

Computed properties:
Symmetry: I-42d
ρ (g/cm³): 6.29
E (eV/atom): -8.132

No. 3
A plane-wave DFT calculation with GGA-PBE was carried out for crystalline ZrP2W at its relaxed geometry.

POSCAR file:
```
ZrP2W
1.0
5.9478 -0.0600 -0.0370
4.7990 3.5142 -0.0370
4.7990 1.5425 3.1578
W P Zr
1 2 1
direct
0.2500 0.2500 0.2500
0.9912 0.9912 0.9912
0.5088 0.5088 0.5088
0.7500 0.7500 0.7500
```

Computed properties:
Symmetry: R-3m
ρ (g/cm³): 8.28
E (eV/atom): -8.558

No. 4
A plane-wave DFT calculation with GGA-PBE was carried out for crystalline ZrP2W at its relaxed geometry.

POSCAR file:
```
ZrP2W
1.0
-3.8922 0.8065 -0.7418
-0.6368 -0.0127 3.3275
0.9628 4.8319 0.2014
W Zr P
1 1 2
direct
0.5000 0.2500 0.2500
0.5000 0.7500 0.7500
0.0000 0.2496 0.5214
0.0000 0.2504 0.9786
```

Computed properties:
Symmetry: Pmmm
ρ (g/cm³): 8.28
E (eV/atom): -8.489

No. 5
A plane-wave DFT calculation with GGA-PBE was carried out for crystalline ZrP2W at its relaxed geometry.

POSCAR file:
```
ZrP2W
1.0
-1.5839 -2.5580 -0.7571
1.4942 -1.5800 2.2124
-4.5631 1.5794 4.2097
P W Zr
2 1 1
direct
0.0000 0.0000 0.0279
0.0000 0.0000 0.4721
0.5000 0.5000 0.2500
0.5000 0.5000 0.7500
```

Computed properties:
Symmetry: P4/mmm
ρ (g/cm³): 9.08
E (eV/atom): -8.599

No. 6
A plane-wave DFT calculation with GGA-PBE was carried out for crystalline ZrP2W at its relaxed geometry.

POSCAR file:
```
ZrP2W
1.0
1.7589 -2.3249 0.0000
1.7589 2.3249 0.0000
0.0000 0.0000 9.1369
Zr W P
1 1 2
direct
0.5000 0.5000 0.2503
0.0000 0.0000 0.5108
0.5000 0.5000 0.6979
0.0000 0.0000 0.0410
```

Computed properties:
Symmetry: Cmm2
ρ (g/cm³): 7.49
E (eV/atom): -8.095

No. 7
A plane-wave DFT calculation with GGA-PBE was carried out for crystalline ZrPW4 at its relaxed geometry.

POSCAR file:
```
ZrPW4
1.0
0.0000 3.7707 3.7707
3.7707 0.0000 3.7707
3.7707 3.7707 0.0000
P W Zr
1 4 1
direct
0.0000 0.0000 0.0000
0.3749 0.3749 0.3749
0.3749 0.3749 0.8754
0.3749 0.8754 0.3749
0.8754 0.3749 0.3749
0.7500 0.7500 0.7500
```

Computed properties:
Symmetry: F-43m
ρ (g/cm³): 13.28
E (eV/atom): -10.510

No. 8
A plane-wave DFT calculation with GGA-PBE was carried out for crystalline ZrPW at its relaxed geometry.

POSCAR file:
```
ZrPW
1.0
2.0930 -3.6252 0.0000
2.0930 3.6252 0.0000
0.0000 0.0000 3.4931
P Zr W
1 1 1
direct
0.0000 0.0000 0.1576
0.6667 0.3333 0.6868
0.3333 0.6667 0.1556
```

Computed properties:
Symmetry: P3m1
ρ (g/cm³): 9.59
E (eV/atom): -9.175

No. 9
A plane-wave DFT calculation with GGA-PBE was carried out for crystalline ZrPW at its relaxed geometry.

POSCAR file:
```
ZrPW
1.0
-2.7680 -4.7598 1.7584
-4.9316 -2.6660 -1.4078
4.9139 2.5385 -1.6790
P Zr W
1 1 1
direct
0.9775 0.9775 0.0000
0.6534 0.6534 0.0000
0.3691 0.3691 0.0000
```

Computed properties:
Symmetry: I4mm
ρ (g/cm³): 9.95
E (eV/atom): -9.282

No. 10
A plane-wave DFT calculation with GGA-PBE was carried out for crystalline ZrP2W at its relaxed geometry.

POSCAR file:
```
ZrP2W
1.0
6.3076 0.0020 -0.0019
4.5178 4.4018 0.0019
-5.3792 -2.2843 2.3733
P W Zr
2 1 1
direct
0.0360 0.0360 0.0000
0.3000 0.8000 0.5000
0.4558 0.4558 0.0000
0.7082 0.2082 0.5000
```

Computed properties:
Symmetry: Imm2
ρ (g/cm³): 8.50
E (eV/atom): -8.914

No. 11
A plane-wave DFT calculation with GGA-PBE was carried out for crystalline ZrP2W at its relaxed geometry.

POSCAR file:
```
ZrP2W
1.0
-0.0171 3.5725 -3.2353
1.9983 1.2577 -4.2017
-3.1273 -1.5346 -2.8461
P Zr W
2 1 1
direct
0.7697 0.7697 0.6711
0.9880 0.9880 0.0506
0.2576 0.2576 0.1741
0.4847 0.4847 0.6043
```

Computed properties:
Symmetry: Cm
ρ (g/cm³): 8.66
E (eV/atom): -8.620

No. 12
A plane-wave DFT calculation with GGA-PBE was carried out for crystalline ZrP2W at its relaxed geometry.

POSCAR file:
```
ZrP2W
1.0
-1.7976 -1.8526 3.8778
1.3420 -2.9230 -0.7743
4.3626 -0.3542 1.8531
Zr W P
1 1 2
direct
0.5000 0.6596 0.8060
0.0000 0.3789 0.3685
0.5000 0.3741 0.3749
0.0000 0.0874 0.9506
```

Computed properties:
Symmetry: Pm
ρ (g/cm³): 8.15
E (eV/atom): -8.615

Question: Which value of E does entry 11 give?
Answer: -8.620 eV/atom